No. 1
CaOsPt3, relaxed, DFT PBEsol; calculated volume = 20.62 Å³/atom; total energy = -4.821 eV per atom
1.0
4.689 0.000 0.000
0.000 4.689 0.000
0.000 0.000 4.689
Pt Ca Os
3 1 1
Direct
0.000 0.500 0.000
0.000 0.000 0.500
0.500 0.000 0.000
0.000 0.000 0.000
0.500 0.500 0.500


No. 2
Rb2MnZnSb, relaxed, DFT PBEsol; calculated volume = 44.26 Å³/atom; raw formation energy = 451 meV/atom
1.0
4.932 0.000 0.000
0.000 6.698 0.000
0.000 0.000 6.698
Sb Mn Rb Zn
1 1 2 1
Direct
0.500 0.000 0.000
0.000 0.000 0.000
0.000 0.000 0.500
0.000 0.500 0.000
0.500 0.500 0.500


No. 3
Ta2Cd, relaxed, DFT PBEsol; calculated volume = 18.42 Å³/atom; total energy = -8.339 eV per atom
1.0
-2.626 0.968 -0.276
-0.881 -1.092 4.552
1.705 4.301 -1.130
Ta Cd
2 1
Direct
0.000 0.333 0.667
0.000 0.667 0.333
0.500 0.000 0.000